PrDyIn2 | PBE-GGA | optimized geometry

Cell and atoms, written as POSCAR:
```
PrDyIn2
1.0
-2.625 2.713 0.075
-2.059 0.549 3.117
5.136 7.478 4.364
Pr In Dy
1 2 1
direct
0.500 0.500 0.500
0.253 0.253 0.242
0.747 0.747 0.758
0.000 0.000 0.000
```

Computed properties:
**Magnetization**: 0.00 μB per cell
**Crystal system**: trigonal
**Calculated formation energy**: -0.309 eV per atom


Pr2Dy9In | PBE-GGA | optimized geometry

Cell and atoms, written as POSCAR:
```
Pr2Dy9In
1.0
4.973 0.000 0.000
0.000 4.973 0.000
0.000 0.000 15.157
Dy In Pr
9 1 2
direct
0.500 0.000 0.159
0.000 0.500 0.500
0.500 0.000 0.841
0.500 0.500 0.673
0.500 0.500 0.327
0.000 0.500 0.841
0.500 0.500 0.000
0.000 0.500 0.159
0.500 0.000 0.500
0.000 0.000 0.000
0.000 0.000 0.332
0.000 0.000 0.668
```

Computed properties:
**Magnetization**: 0.01 μB per cell
**Crystal system**: tetragonal
**Calculated formation energy**: -0.059 eV per atom


PrDyIn3 | PBE-GGA | optimized geometry

Cell and atoms, written as POSCAR:
```
PrDyIn3
1.0
-0.664 1.091 3.534
-3.144 -3.752 0.567
11.456 -9.150 2.978
In Pr Dy
6 2 2
direct
0.475 0.250 0.950
0.680 0.250 0.359
0.377 0.250 0.755
0.525 0.750 0.050
0.623 0.750 0.245
0.320 0.750 0.641
0.926 0.750 0.851
0.074 0.250 0.149
0.787 0.250 0.574
0.213 0.750 0.426
```

Computed properties:
**Magnetization**: 0.66 μB per cell
**Energy above the lowest structure with this stoichiometry**: 0 meV per atom
**Crystal system**: orthorhombic
**Calculated formation energy**: -0.454 eV per atom


Pr2Dy2In5 | PBE-GGA | optimized geometry

Cell and atoms, written as POSCAR:
```
Pr2Dy2In5
1.0
-1.715 4.207 -5.707
-5.683 -7.475 -3.804
-1.984 4.143 8.313
Pr Dy In
4 4 10
direct
0.900 0.437 0.747
0.347 0.937 0.747
0.653 0.190 0.253
0.100 0.690 0.253
0.254 0.381 0.500
0.000 0.997 0.000
0.500 0.497 0.000
0.746 0.881 0.500
0.640 0.689 0.696
0.556 0.189 0.696
0.730 0.818 0.085
0.145 0.233 0.915
0.360 0.993 0.304
0.444 0.493 0.304
0.936 0.599 0.500
0.064 0.099 0.500
0.270 0.733 0.915
0.855 0.318 0.085
```

Computed properties:
**Magnetization**: 0.01 μB per cell
**Crystal system**: orthorhombic
**Calculated formation energy**: -0.289 eV per atom


PrDy5In6 | PBE-GGA | optimized geometry

Cell and atoms, written as POSCAR:
```
PrDy5In6
1.0
-1.160 2.989 4.291
-7.250 -1.999 -0.567
0.789 -4.827 6.920
Dy In Pr
5 6 1
direct
0.000 0.500 0.000
0.667 0.000 0.665
0.664 0.500 0.673
0.336 0.500 0.327
0.333 0.000 0.335
0.170 0.745 0.660
0.170 0.255 0.660
0.500 0.746 0.000
0.830 0.745 0.340
0.500 0.254 0.000
0.830 0.255 0.340
0.000 0.000 0.000
```

Computed properties:
**Magnetization**: 0.00 μB per cell
**Crystal system**: orthorhombic
**Calculated formation energy**: -0.470 eV per atom


Pr3DyIn2 | PBE-GGA | optimized geometry

Cell and atoms, written as POSCAR:
```
Pr3DyIn2
1.0
5.072 0.000 -0.003
0.000 9.261 0.000
-2.540 -4.631 7.863
In Pr Dy
4 6 2
direct
0.654 0.154 0.309
0.346 0.346 0.691
0.654 0.654 0.309
0.346 0.846 0.691
0.500 0.750 0.000
0.827 0.076 0.652
0.500 0.250 0.000
0.827 0.576 0.652
0.173 0.924 0.348
0.173 0.424 0.348
0.000 0.000 0.000
0.000 0.500 0.000
```

Computed properties:
**Magnetization**: 0.00 μB per cell
**Energy above the lowest structure with this stoichiometry**: 40 meV per atom
**Crystal system**: monoclinic
**Calculated formation energy**: -0.307 eV per atom


Pr2Dy6In | PBE-GGA | optimized geometry

Cell and atoms, written as POSCAR:
```
Pr2Dy6In
1.0
-2.732 -2.201 0.254
2.106 -3.688 -9.310
5.069 -2.590 7.796
In Dy Pr
1 6 2
direct
0.000 0.000 0.000
0.823 0.985 0.646
0.177 0.015 0.354
0.500 0.707 0.000
0.500 0.293 0.000
0.177 0.339 0.354
0.823 0.661 0.646
0.151 0.651 0.302
0.849 0.349 0.698
```

Computed properties:
**Magnetization**: 0.00 μB per cell
**Crystal system**: orthorhombic
**Calculated formation energy**: -0.020 eV per atom


Pr5DyIn4 | PBE-GGA | optimized geometry

Cell and atoms, written as POSCAR:
```
Pr5DyIn4
1.0
8.826 0.000 0.000
0.000 8.467 0.000
0.000 0.000 9.220
In Pr Dy
8 10 2
direct
0.010 0.000 0.339
0.437 0.660 0.500
0.437 0.340 0.500
0.990 0.500 0.839
0.563 0.840 0.000
0.010 0.000 0.661
0.990 0.500 0.161
0.563 0.160 0.000
0.265 0.246 0.195
0.735 0.254 0.695
0.265 0.246 0.805
0.735 0.746 0.695
0.345 0.000 0.500
0.655 0.500 0.000
0.735 0.746 0.305
0.735 0.254 0.305
0.265 0.754 0.195
0.265 0.754 0.805
0.915 0.000 0.000
0.085 0.500 0.500
```

Computed properties:
**Magnetization**: 0.00 μB per cell
**Energy above the lowest structure with this stoichiometry**: 254 meV per atom
**Crystal system**: orthorhombic
**Calculated formation energy**: -0.117 eV per atom


Q: Which of these has the highest magnetization?
A: PrDyIn3


Q: What is the calculated formation energy in the second record?
A: -0.059 eV per atom